{
  "formula": "Er12Pb5C2",
  "functional": "PBE-GGA",
  "state": "optimized geometry",
  "lattice": [[8.4221, -3.7392, 0.0000], [8.4221, 3.7392, 0.0000], [-2.7129, 0.0000, 9.0492]],
  "species": ["Er", "Er", "Er", "Er", "Er", "Er", "Er", "Er", "Er", "Er", "Er", "Er", "Pb", "Pb", "Pb", "Pb", "Pb", "C", "C"],
  "fractional_positions": [[0.0022, 0.0022, 0.1773], [0.0981, 0.6054, 0.4281], [0.1048, 0.5944, 0.9242], [0.3946, 0.9019, 0.5719], [0.4056, 0.8952, 0.0758], [0.4984, 0.4984, 0.1685], [0.5016, 0.5016, 0.8315], [0.5944, 0.1048, 0.9242], [0.6054, 0.0981, 0.4281], [0.8952, 0.4056, 0.0758], [0.9019, 0.3946, 0.5719], [0.9978, 0.9978, 0.8227], [0.1866, 0.1866, 0.8410], [0.1961, 0.1961, 0.3488], [0.5000, 0.5000, 0.5000], [0.8039, 0.8039, 0.6512], [0.8134, 0.8134, 0.1590], [0.2499, 0.7501, 0.0000], [0.7501, 0.2499, 0.0000]],
  "final_energy_ev_per_atom": -5.07,
  "n_ef_per_ev_cell": 17.1,
  "magnetic_moment_mub_per_atom": 0.21,
  "delta_e_f_ev_per_atom": -0.2403
}